1.
## Cu2MoAs (GGA-PBE)

Data for a geometry-optimized Cu2MoAs structure.

Cell and atoms, written as POSCAR:
```
Cu2MoAs
1.0
5.264 0.003 -0.004
2.775 4.473 0.004
-3.580 -3.027 2.393
As Cu Mo
1 2 1
Cartesian
1.607 1.842 1.198
0.103 0.057 0.000
3.917 2.181 0.000
2.852 -0.393 1.195
```

Output
Its space group is Immm, No. 71. The energy of formation is 0.160 eV per atom.

2.
## CuMoAs4 (GGA-PBE)

Data for a geometry-optimized CuMoAs4 structure.

Cell and atoms, written as POSCAR:
```
CuMoAs4
1.0
-1.607 -4.377 2.617
-4.033 -2.936 -1.925
0.960 -4.844 -2.050
Cu Mo As
1 1 4
Cartesian
-3.510 -9.118 -1.019
0.000 0.000 0.000
-1.752 -4.552 -0.509
-3.778 -6.026 -1.476
-1.270 -6.985 -1.539
-2.560 -6.750 0.806
```

Output
Its space group is F-43m, No. 216. The energy of formation is 0.822 eV per atom.

3.
## Cu2MoAs (GGA-PBE)

Data for a geometry-optimized Cu2MoAs structure.

Cell and atoms, written as POSCAR:
```
Cu2MoAs
1.0
5.071 0.003 0.000
2.504 4.410 0.000
-3.787 -2.206 2.550
As Cu Mo
1 2 1
Cartesian
2.535 0.001 1.275
0.000 0.000 0.000
3.787 2.206 0.000
1.252 2.205 1.275
```

Output
Its space group is I4/mmm, No. 139. The energy of formation is 0.272 eV per atom.

4.
## Cu2MoAs (GGA-PBE)

Data for a geometry-optimized Cu2MoAs structure.

Cell and atoms, written as POSCAR:
```
Cu2MoAs
1.0
-1.198 -6.745 1.196
5.503 -0.224 4.246
0.697 -2.886 4.639
Mo As Cu
2 2 4
Cartesian
0.000 0.000 0.000
0.826 -6.558 4.278
2.153 -3.485 2.721
4.176 -3.298 5.803
0.140 -4.813 2.411
3.437 -1.857 3.990
2.261 -4.783 5.615
4.166 -8.258 8.145
```

Output
Its space group is I-42d, No. 122. The energy of formation is 0.352 eV per atom.